Entry 1:
Computed, not measured: a geometry-optimized AlPb2W structure at the PBE level of DFT.

Cell and atoms, written as POSCAR:
```
AlPb2W
1.0
-1.773 2.538 4.888
1.773 -2.538 4.888
1.773 2.538 -4.888
Al Pb W
1 2 1
Cartesian
0.000 0.000 0.000
1.773 0.000 2.559
0.000 0.000 5.294
0.000 2.538 2.957
```

## Properties
* magnetization: 0.0 μB/cell
* formation energy: 793 meV/atom

***

Entry 2:
Computed, not measured: a geometry-optimized AlPb2W structure at the PBE level of DFT.

Cell and atoms, written as POSCAR:
```
AlPb2W
1.0
1.837 -2.455 0.000
1.837 2.455 0.000
0.000 0.000 10.386
Al Pb W
1 2 1
Cartesian
0.000 0.000 0.000
0.000 0.000 4.238
1.837 0.000 7.857
1.837 0.000 1.875
```

## Properties
* magnetization: 0.0 μB/cell
* formation energy: 511 meV/atom